No. 1
Material: PmTlPd2
Method: DFT, GGA-PBE
State: relaxed

Calculated values
Symmetry   P4/mmm, No. 123
E_form   -2.03 eV/f.u.

Geometry as extended XYZ:
```
4
Lattice="4.762 0.000 0.000 0.000 4.762 0.000 0.000 0.000 3.767" Properties=species:S:1:pos:R:3 pbc="T T T"
Pm 0.000 0.000 0.000
Tl 2.381 2.381 0.000
Pd 0.000 2.381 1.884
Pd 2.381 0.000 1.884
```

=====

No. 2
Material: BaLa2InI
Method: DFT, GGA-PBE
State: relaxed

Calculated values
Symmetry   P4/mmm, No. 123

Geometry as extended XYZ:
```
5
Lattice="5.978 0.000 0.000 0.000 5.978 0.000 0.000 0.000 6.322" Properties=species:S:1:pos:R:3 pbc="T T T"
Ba 0.000 0.000 0.000
La 0.000 2.989 3.161
La 2.989 0.000 3.161
In 2.989 2.989 0.000
I 0.000 0.000 3.161
```

=====

No. 3
Material: Rb2SbBr4
Method: DFT, GGA-PBE
State: relaxed

Calculated values
Symmetry   I4/mmm, No. 139

Geometry as extended XYZ:
```
14
Lattice="5.907 0.000 0.000 0.000 5.907 0.000 0.000 0.000 17.042" Properties=species:S:1:pos:R:3 pbc="T T T"
Rb 0.000 0.000 2.262
Rb 0.000 0.000 14.781
Rb 2.953 2.953 6.259
Rb 2.953 2.953 10.783
Sb 0.000 0.000 8.521
Sb 2.953 2.953 0.000
Br 0.000 0.000 5.670
Br 0.000 0.000 11.373
Br 0.000 2.953 0.000
Br 0.000 2.953 8.521
Br 2.953 0.000 0.000
Br 2.953 0.000 8.521
Br 2.953 2.953 2.851
Br 2.953 2.953 14.191
```

=====

No. 4
Material: PmPuBiSb
Method: DFT, GGA-PBE
State: relaxed

Calculated values
Symmetry   F-43m, No. 216

Geometry as extended XYZ:
```
16
Lattice="7.754 0.000 0.000 0.000 7.754 0.000 0.000 0.000 7.754" Properties=species:S:1:pos:R:3 pbc="T T T"
Pm 0.000 0.000 0.000
Pm 0.000 3.877 3.877
Pm 3.877 0.000 3.877
Pm 3.877 3.877 0.000
Pu 0.000 0.000 3.877
Pu 0.000 3.877 0.000
Pu 3.877 0.000 0.000
Pu 3.877 3.877 3.877
Bi 1.938 1.938 5.815
Bi 1.938 5.815 1.938
Bi 5.815 1.938 1.938
Bi 5.815 5.815 5.815
Sb 1.938 1.938 1.938
Sb 1.938 5.815 5.815
Sb 5.815 1.938 5.815
Sb 5.815 5.815 1.938
```

=====

no.,final energy (eV per atom)
1,-4.8819
2,-3.3258
3,-2.9571
4,-7.3613